DFT (PBE) results for a geometry-optimized Tl2Cd2F5 structure.

Cell lengths 4.637, 6.787, 6.679 Å; angles 104.45, 90.00, 109.97 degrees
Atoms (fractional coordinates):
Tl (0.386, 0.772, 0.639)
Tl (0.614, 0.228, 0.361)
Cd (0.152, 0.305, 0.893)
Cd (0.848, 0.695, 0.107)
F (0.337, 0.674, 0.097)
F (0.663, 0.326, 0.903)
F (0.167, 0.334, 0.562)
F (0.833, 0.666, 0.438)
F (0.000, 0.000, 0.000)

Summary:
The electronic total energy is -31.77 eV/cell. For the formation energy without anion corrections, the calculation gives -1.7609 eV/atom. Its total magnetization is 0.00 μB/f.u.

---

DFT (PBE) results for a geometry-optimized NaAcRhO4 structure.

Cell lengths 3.942, 3.942, 6.935 Å; angles 106.51, 106.51, 90.00 degrees
Each line ends with the local moment (μB).
Atoms (fractional coordinates):
Na (0.352, 0.352, 0.704)  0.00
Ac (0.648, 0.648, 0.295)  0.01
Rh (0.989, 0.989, 0.977)  0.47
O (0.009, 0.509, 0.018)  0.09
O (0.509, 0.009, 0.018)  0.09
O (0.833, 0.833, 0.665)  0.05
O (0.161, 0.161, 0.323)  0.01

Summary:
The electronic total energy is -45.29 eV/cell. For the formation energy without anion corrections, the calculation gives -1.8112 eV/atom. Its total magnetization is 0.79 μB/f.u.

---

DFT (PBE) results for a geometry-optimized CaZnCu structure.

Cell lengths 4.576, 4.576, 4.576 Å; angles 60.00, 60.00, 60.00 degrees
Atoms (fractional coordinates):
Zn (0.000, 0.000, 0.000)
Ca (0.500, 0.500, 0.500)
Cu (0.250, 0.250, 0.250)

Summary:
As for the formation energy: -0.05 eV/f.u. The electronic total energy is -7.43 eV/cell. Its total magnetization is 0.00 μB/f.u.

---

DFT (PBE) results for a geometry-optimized CdBrN2O structure.

Cell lengths 4.427, 4.427, 4.425 Å; angles 90.00, 90.00, 90.00 degrees
Each line ends with the local moment (μB).
Atoms (fractional coordinates):
N (0.000, 0.500, 0.000)  1.25
N (0.500, 0.000, 0.000)  1.25
O (0.000, 0.000, 0.500)  -0.77
Br (0.500, 0.500, 0.500)  -0.22
Cd (0.000, 0.000, 0.000)  0.04

Summary:
The electronic total energy is -14.64 eV/cell. For the formation energy without anion corrections, the calculation gives 1.9123 eV/atom. Its total magnetization is 2.46 μB/f.u.

---

DFT (PBE) results for a geometry-optimized InTc2Cl structure.

Cell lengths 2.997, 2.997, 7.989 Å; angles 90.00, 90.00, 90.00 degrees
Atoms (fractional coordinates):
Cl (0.000, 0.000, 0.450)
In (0.500, 0.500, 0.789)
Tc (0.000, 0.000, 0.035)
Tc (0.500, 0.500, 0.225)

Summary:
The electronic total energy is -25.08 eV/cell. For the formation energy without anion corrections, the calculation gives 0.0599 eV/atom. For the distance to the lowest polymorph of the same formula, the calculation gives 83 meV/atom. Its total magnetization is 0.00 μB/f.u.

---

DFT (PBE) results for a geometry-optimized Sm12Dy6Er structure.

Cell lengths 9.193, 9.193, 9.193 Å; angles 106.63, 106.63, 106.63 degrees
Atoms (fractional coordinates):
Sm (0.484, 0.191, 0.582)
Sm (0.191, 0.582, 0.484)
Sm (0.582, 0.484, 0.191)
Sm (0.516, 0.809, 0.418)
Sm (0.809, 0.418, 0.516)
Sm (0.418, 0.516, 0.809)
Sm (0.278, 0.133, 0.826)
Sm (0.174, 0.722, 0.867)
Sm (0.867, 0.174, 0.722)
Sm (0.722, 0.867, 0.174)
Sm (0.826, 0.278, 0.133)
Sm (0.133, 0.826, 0.278)
Dy (0.078, 0.190, 0.453)
Dy (0.810, 0.547, 0.922)
Dy (0.547, 0.922, 0.810)
Dy (0.922, 0.810, 0.547)
Dy (0.190, 0.453, 0.078)
Dy (0.453, 0.078, 0.190)
Er (0.000, 0.000, 0.000)

Summary:
As for the formation energy: 4.58 eV/f.u. The electronic total energy is -84.22 eV/cell. For the distance to the lowest polymorph of the same formula, the calculation gives 99 meV/atom. Its total magnetization is 0.00 μB/f.u.

---

DFT (PBE) results for a geometry-optimized CsNa2TmCl6 structure.

Cell lengths 7.275, 7.275, 7.905 Å; angles 62.59, 62.59, 59.98 degrees
Atoms (fractional coordinates):
Cs (0.793, 0.793, 0.622)
Na (0.522, 0.522, 0.434)
Na (0.002, 0.002, 0.995)
Tm (0.327, 0.327, 0.018)
Cl (0.566, 0.266, 0.221)
Cl (0.266, 0.947, 0.221)
Cl (0.947, 0.566, 0.221)
Cl (0.316, 0.723, 0.761)
Cl (0.723, 0.201, 0.761)
Cl (0.201, 0.316, 0.761)

Summary:
The electronic total energy is -39.50 eV/cell. For the formation energy without anion corrections, the calculation gives -2.0458 eV/atom. Its total magnetization is 0.00 μB/f.u.

---

DFT (PBE) results for a geometry-optimized SrSmAgAu structure.

Cell lengths 5.320, 5.320, 5.320 Å; angles 60.00, 60.00, 60.00 degrees
Atoms (fractional coordinates):
Sr (0.500, 0.500, 0.500)
Au (0.750, 0.750, 0.750)
Ag (0.250, 0.250, 0.250)
Sm (0.000, 0.000, 0.000)

Summary:
As for the formation energy: -1.91 eV/f.u. The electronic total energy is -14.44 eV/cell. For the distance to the lowest polymorph of the same formula, the calculation gives 26 meV/atom. Its total magnetization is 0.00 μB/f.u.

---

DFT (PBE) results for a geometry-optimized Pm3NpS4 structure.

Cell lengths 3.997, 6.940, 6.940 Å; angles 109.34, 90.00, 90.00 degrees
Each line ends with the local moment (μB).
Atoms (fractional coordinates):
Np (0.500, 0.000, 0.000)  3.97
S (0.000, 0.243, 0.243)  -0.04
S (0.500, 0.753, 0.247)  -0.02
S (0.000, 0.757, 0.757)  -0.04
S (0.500, 0.247, 0.753)  -0.02
Pm (0.000, 0.000, 0.500)  0.05
Pm (0.500, 0.500, 0.500)  -0.01
Pm (0.000, 0.500, 0.000)  0.05

Summary:
The electronic total energy is -58.63 eV/cell. For the formation energy without anion corrections, the calculation gives -1.8660 eV/atom. Its total magnetization is 4.46 μB/f.u.

---

DFT (PBE) results for a geometry-optimized Rb3SnAu2I9 structure.

Cell lengths 8.367, 8.367, 10.297 Å; angles 90.00, 90.00, 120.00 degrees
Atoms (fractional coordinates):
Rb (0.333, 0.667, 0.679)
Rb (0.000, 0.000, 0.000)
Rb (0.667, 0.333, 0.321)
Sn (0.000, 0.000, 0.500)
Au (0.333, 0.667, 0.156)
Au (0.667, 0.333, 0.844)
I (0.830, 0.170, 0.671)
I (0.830, 0.659, 0.671)
I (0.341, 0.170, 0.671)
I (0.659, 0.830, 0.329)
I (0.170, 0.341, 0.329)
I (0.170, 0.830, 0.329)
I (0.500, 0.000, 0.000)
I (0.000, 0.500, 0.000)
I (0.500, 0.500, 0.000)

Summary:
The electronic total energy is -37.81 eV/cell. For the formation energy without anion corrections, the calculation gives -0.6934 eV/atom. Its total magnetization is 0.00 μB/f.u.

---

DFT (PBE) results for a geometry-optimized Sr4CdAg3 structure.

Cell lengths 4.481, 4.865, 12.121 Å; angles 90.00, 90.00, 90.00 degrees
Atoms (fractional coordinates):
Sr (0.500, 0.500, 0.364)
Sr (0.000, 0.500, 0.853)
Sr (0.000, 0.000, 0.145)
Sr (0.500, 0.000, 0.639)
Cd (0.500, 0.500, 0.069)
Ag (0.000, 0.500, 0.570)
Ag (0.000, 0.000, 0.431)
Ag (0.500, 0.000, 0.928)

Summary:
As for the formation energy: -2.50 eV/f.u. The electronic total energy is -18.69 eV/cell. Its total magnetization is 0.00 μB/f.u.

---

DFT (PBE) results for a geometry-optimized TiRe2TeRu structure.

Cell lengths 4.746, 4.611, 4.746 Å; angles 90.00, 90.00, 90.00 degrees
Atoms (fractional coordinates):
Re (0.000, 0.000, 0.500)
Re (0.500, 0.000, 0.000)
Te (0.500, 0.500, 0.500)
Ti (0.000, 0.500, 0.000)
Ru (0.000, 0.000, 0.000)

Summary:
The electronic total energy is -38.42 eV/cell. For the formation energy without anion corrections, the calculation gives 1.3575 eV/atom. For the distance to the lowest polymorph of the same formula, the calculation gives 0 meV/atom. Its total magnetization is 0.00 μB/f.u.

---

> Look up the electronic total energy of the sixth one.

-84.22 eV/cell

---

Copy entry 6 word for word.
DFT (PBE) results for a geometry-optimized Sm12Dy6Er structure.

Cell lengths 9.193, 9.193, 9.193 Å; angles 106.63, 106.63, 106.63 degrees
Atoms (fractional coordinates):
Sm (0.484, 0.191, 0.582)
Sm (0.191, 0.582, 0.484)
Sm (0.582, 0.484, 0.191)
Sm (0.516, 0.809, 0.418)
Sm (0.809, 0.418, 0.516)
Sm (0.418, 0.516, 0.809)
Sm (0.278, 0.133, 0.826)
Sm (0.174, 0.722, 0.867)
Sm (0.867, 0.174, 0.722)
Sm (0.722, 0.867, 0.174)
Sm (0.826, 0.278, 0.133)
Sm (0.133, 0.826, 0.278)
Dy (0.078, 0.190, 0.453)
Dy (0.810, 0.547, 0.922)
Dy (0.547, 0.922, 0.810)
Dy (0.922, 0.810, 0.547)
Dy (0.190, 0.453, 0.078)
Dy (0.453, 0.078, 0.190)
Er (0.000, 0.000, 0.000)

Summary:
As for the formation energy: 4.58 eV/f.u. The electronic total energy is -84.22 eV/cell. For the distance to the lowest polymorph of the same formula, the calculation gives 99 meV/atom. Its total magnetization is 0.00 μB/f.u.